No. 1
DFT (PBE) results for a relaxed CePu2TaN4 crystal.

Values from the calculation:
- Symmetry: Cmcm (63)
- Raw formation energy: -1094 meV/atom
- Spin magnetization: 10.45 μB/f.u.

Cell lengths 6.197, 6.197, 12.192 Å; angles 90.00, 90.00, 148.32 degrees
Element x y z (fractional)
Ce  0.108  0.892  0.750
Ce  0.892  0.108  0.250
Pu  0.369  0.631  0.537
Pu  0.369  0.631  0.963
Pu  0.631  0.369  0.037
Pu  0.631  0.369  0.463
Ta  0.156  0.844  0.250
Ta  0.844  0.156  0.750
N  0.000  0.000  0.000
N  0.000  0.000  0.500
N  0.265  0.735  0.126
N  0.265  0.735  0.374
N  0.452  0.548  0.750
N  0.548  0.452  0.250
N  0.735  0.265  0.626
N  0.735  0.265  0.874

***

No. 2
DFT (PBE) results for a relaxed Ce3Pu2TaN6 crystal.

Values from the calculation:
- Symmetry: C2/m (12)
- Raw formation energy: -1396 meV/atom
- Spin magnetization: 9.83 μB/f.u.

Cell lengths 5.938, 5.938, 6.000 Å; angles 99.47, 99.47, 119.94 degrees
Element x y z (fractional)
Ce  0.000  0.000  0.000
Ce  0.332  0.668  0.000
Ce  0.668  0.332  0.000
Pu  0.166  0.834  0.500
Pu  0.834  0.166  0.500
Ta  0.500  0.500  0.500
N  0.116  0.427  0.280
N  0.265  0.265  0.726
N  0.427  0.116  0.280
N  0.573  0.884  0.720
N  0.735  0.735  0.274
N  0.884  0.573  0.720

***

No. 3
DFT (PBE) results for a relaxed TbCe3Pu2N6 crystal.

Values from the calculation:
- Symmetry: C2/m (12)
- Raw formation energy: -1445 meV/atom
- Spin magnetization: 11.04 μB/f.u.

Cell lengths 6.112, 6.112, 6.108 Å; angles 99.62, 99.62, 119.99 degrees
Element x y z (fractional)
Tb  0.000  0.000  0.000
Ce  0.166  0.834  0.500
Ce  0.500  0.500  0.500
Ce  0.834  0.166  0.500
Pu  0.333  0.667  0.000
Pu  0.667  0.333  0.000
N  0.080  0.420  0.241
N  0.259  0.259  0.760
N  0.420  0.080  0.241
N  0.580  0.920  0.759
N  0.741  0.741  0.240
N  0.920  0.580  0.759

***

No. 4
DFT (PBE) results for a relaxed TbCe2PuN4 crystal.

Values from the calculation:
- Symmetry: P2/m (10)
- Raw formation energy: -1472 meV/atom
- Spin magnetization: 5.70 μB/f.u.

Cell lengths 6.103, 3.536, 6.116 Å; angles 90.00, 109.56, 90.00 degrees
Element x y z (fractional)
Tb  0.000  0.000  0.000
Ce  0.000  0.500  0.500
Ce  0.500  0.000  0.500
Pu  0.500  0.500  0.000
N  0.252  0.500  0.247
N  0.257  0.000  0.759
N  0.743  0.000  0.241
N  0.748  0.500  0.753

***

No. 5
DFT (PBE) results for a relaxed Tb2Ce3PuN6 crystal.

Values from the calculation:
- Symmetry: C2/m (12)
- Raw formation energy: -1500 meV/atom
- Spin magnetization: 6.03 μB/f.u.

Cell lengths 6.113, 6.113, 6.124 Å; angles 99.58, 99.58, 120.01 degrees
Element x y z (fractional)
Tb  0.167  0.833  0.000
Tb  0.833  0.167  0.000
Ce  0.000  0.000  0.500
Ce  0.333  0.667  0.500
Ce  0.667  0.333  0.500
Pu  0.500  0.500  0.000
N  0.090  0.418  0.754
N  0.254  0.254  0.246
N  0.418  0.090  0.754
N  0.582  0.910  0.246
N  0.746  0.746  0.754
N  0.910  0.582  0.246

***

No. 6
DFT (PBE) results for a relaxed Ce2PuTe2N2 crystal.

Values from the calculation:
- Symmetry: C2/m (12)
- Raw formation energy: -1442 meV/atom
- Spin magnetization: 6.01 μB/f.u.

Cell lengths 6.577, 6.577, 7.749 Å; angles 121.13, 121.13, 35.79 degrees
Element x y z (fractional)
Ce  0.195  0.195  0.273
Ce  0.805  0.805  0.727
Pu  0.000  0.000  0.500
Te  0.427  0.427  0.152
Te  0.573  0.573  0.848
N  0.198  0.198  0.574
N  0.802  0.802  0.426

***

No. 7
DFT (PBE) results for a relaxed CePuTeN2 crystal.

Values from the calculation:
- Symmetry: I4mm (107)
- Raw formation energy: -1390 meV/atom
- Spin magnetization: 4.01 μB/f.u.

Cell lengths 6.933, 6.933, 6.933 Å; angles 146.90, 146.90, 47.52 degrees
Element x y z (fractional)
Ce  0.000  0.000  0.000
Pu  0.675  0.675  0.000
Te  0.338  0.338  0.000
N  0.094  0.594  0.500
N  0.594  0.094  0.500

***

No. 8
DFT (PBE) results for a relaxed CePuTe2N crystal.

Values from the calculation:
- Symmetry: P4/nmm (129)
- Raw formation energy: -1184 meV/atom
- Spin magnetization: 5.02 μB/f.u.

Cell lengths 4.230, 4.230, 15.411 Å; angles 90.00, 90.00, 90.00 degrees
Element x y z (fractional)
Ce  0.250  0.250  0.066
Ce  0.750  0.750  0.934
Pu  0.250  0.250  0.620
Pu  0.750  0.750  0.380
Te  0.250  0.250  0.410
Te  0.250  0.250  0.813
Te  0.750  0.750  0.187
Te  0.750  0.750  0.590
N  0.250  0.750  0.000
N  0.750  0.250  0.000

***

> Look up the raw formation energy of the first one.

-1094 meV/atom

***

> raw formation energy of number 7 (CePuTeN2)?

-1390 meV/atom

***

Copy entry 4 word for word.
DFT (PBE) results for a relaxed TbCe2PuN4 crystal.

Values from the calculation:
- Symmetry: P2/m (10)
- Raw formation energy: -1472 meV/atom
- Spin magnetization: 5.70 μB/f.u.

Cell lengths 6.103, 3.536, 6.116 Å; angles 90.00, 109.56, 90.00 degrees
Element x y z (fractional)
Tb  0.000  0.000  0.000
Ce  0.000  0.500  0.500
Ce  0.500  0.000  0.500
Pu  0.500  0.500  0.000
N  0.252  0.500  0.247
N  0.257  0.000  0.759
N  0.743  0.000  0.241
N  0.748  0.500  0.753